[1]
DFT (PBE) results for Pu2SbPb2 after structural relaxation.

a = 4.274 Å, b = 4.274 Å, c = 8.737 Å
α = 104.16°, β = 104.16°, γ = 90.00°
Each line ends with the local moment (μB).
Fractional coordinates of all 5 atoms:
Pu (0.413, 0.413, 0.826)  5.44
Pu (0.587, 0.587, 0.174)  5.44
Pb (0.750, 0.250, 0.500)  -0.03
Pb (0.250, 0.750, 0.500)  -0.03
Sb (0.000, 0.000, 0.000)  -0.15

Properties
size of the total moment	10.987	μB/f.u.
raw formation energy	-0.126	eV per atom
calculated density	11.36	g cm⁻³

[2]
DFT (PBE) results for PuSb2Pb2 after structural relaxation.

a = 4.550 Å, b = 4.551 Å, c = 14.034 Å
α = 90.00°, β = 99.33°, γ = 90.00°
Each line ends with the local moment (μB).
Fractional coordinates of all 10 atoms:
Pb (0.947, 0.250, 0.894)  0.02
Pb (0.442, 0.750, 0.884)  0.03
Pb (0.558, 0.250, 0.116)  0.03
Pb (0.053, 0.750, 0.106)  0.02
Pu (0.664, 0.750, 0.327)  5.32
Pu (0.336, 0.250, 0.673)  5.32
Sb (0.145, 0.250, 0.290)  -0.04
Sb (0.250, 0.750, 0.501)  -0.04
Sb (0.750, 0.250, 0.499)  -0.04
Sb (0.855, 0.750, 0.710)  -0.04

Properties
size of the total moment	5.573	μB/f.u.
raw formation energy	-0.251	eV per atom
calculated density	10.44	g cm⁻³

[3]
DFT (PBE) results for PuSbTePb after structural relaxation.

a = 5.496 Å, b = 5.496 Å, c = 5.496 Å
α = 60.00°, β = 60.00°, γ = 60.00°
Each line ends with the local moment (μB).
Fractional coordinates of all 4 atoms:
Te (0.250, 0.250, 0.250)  -0.11
Sb (0.750, 0.750, 0.750)  -0.09
Pu (0.500, 0.500, 0.500)  5.38
Pb (0.000, 0.000, 0.000)  0.00

Properties
size of the total moment	5.247	μB/f.u.
raw formation energy	-0.357	eV per atom
calculated density	9.91	g cm⁻³

[4]
DFT (PBE) results for PuThSbPb after structural relaxation.

a = 5.465 Å, b = 5.465 Å, c = 5.465 Å
α = 60.00°, β = 60.00°, γ = 60.00°
Each line ends with the local moment (μB).
Fractional coordinates of all 4 atoms:
Pu (0.000, 0.000, 0.000)  5.47
Pb (0.250, 0.250, 0.250)  -0.04
Sb (0.750, 0.750, 0.750)  -0.04
Th (0.500, 0.500, 0.500)  0.17

Properties
size of the total moment	6.092	μB/f.u.
raw formation energy	-0.348	eV per atom
calculated density	11.58	g cm⁻³

[5]
DFT (PBE) results for PuSc2Pb after structural relaxation.

a = 3.411 Å, b = 3.411 Å, c = 8.404 Å
α = 90.00°, β = 90.00°, γ = 90.00°
Each line ends with the local moment (μB).
Fractional coordinates of all 4 atoms:
Sc (0.000, 0.000, 0.257)  -0.01
Sc (0.000, 0.000, 0.743)  -0.01
Pb (0.500, 0.500, 0.500)  0.01
Pu (0.500, 0.500, 0.000)  5.27

Properties
distance to the lowest polymorph of the same formula	72	meV per atom
size of the total moment	5.583	μB/f.u.
DFT formation energy	-0.10	eV per atom
calculated density	9.19	g cm⁻³

[6]
DFT (PBE) results for PuSc2Pb after structural relaxation.

a = 4.432 Å, b = 4.729 Å, c = 4.729 Å
α = 90.00°, β = 90.00°, γ = 90.00°
Each line ends with the local moment (μB).
Fractional coordinates of all 4 atoms:
Sc (0.000, 0.500, 0.000)  0.48
Sc (0.000, 0.000, 0.500)  0.48
Pu (0.500, 0.500, 0.500)  5.62
Pb (0.500, 0.000, 0.000)  -0.06

Properties
distance to the lowest polymorph of the same formula	0	meV per atom
size of the total moment	7.419	μB/f.u.
DFT formation energy	-0.18	eV per atom
calculated density	9.07	g cm⁻³

[7]
DFT (PBE) results for Pu2ScPb3 after structural relaxation.

a = 3.430 Å, b = 3.430 Å, c = 13.656 Å
α = 90.00°, β = 90.00°, γ = 90.00°
Each line ends with the local moment (μB).
Fractional coordinates of all 6 atoms:
Sc (0.500, 0.500, 0.500)  0.24
Pu (0.500, 0.500, 0.172)  5.62
Pu (0.500, 0.500, 0.828)  5.62
Pb (0.000, 0.000, 0.654)  -0.02
Pb (0.000, 0.000, 0.000)  -0.06
Pb (0.000, 0.000, 0.346)  -0.02

Properties
size of the total moment	12.262	μB/f.u.
DFT formation energy	-0.23	eV per atom
calculated density	11.94	g cm⁻³

[8]
DFT (PBE) results for PuScPb2 after structural relaxation.

a = 3.421 Å, b = 3.421 Å, c = 8.969 Å
α = 90.00°, β = 90.00°, γ = 90.00°
Each line ends with the local moment (μB).
Fractional coordinates of all 4 atoms:
Sc (0.500, 0.500, 0.000)  -0.26
Pb (0.000, 0.000, 0.765)  0.02
Pb (0.000, 0.000, 0.235)  0.02
Pu (0.500, 0.500, 0.500)  -5.67

Properties
distance to the lowest polymorph of the same formula	0	meV per atom
size of the total moment	6.455	μB/f.u.
DFT formation energy	-0.25	eV per atom
calculated density	11.13	g cm⁻³

[9]
DFT (PBE) results for PuScPb2 after structural relaxation.

a = 5.320 Å, b = 5.320 Å, c = 5.320 Å
α = 60.00°, β = 60.00°, γ = 60.00°
Each line ends with the local moment (μB).
Fractional coordinates of all 4 atoms:
Pu (0.000, 0.000, 0.000)  5.47
Pb (0.750, 0.750, 0.750)  -0.02
Pb (0.250, 0.250, 0.250)  -0.02
Sc (0.500, 0.500, 0.500)  0.30

Properties
distance to the lowest polymorph of the same formula	70	meV per atom
size of the total moment	6.171	μB/f.u.
DFT formation energy	-0.18	eV per atom
calculated density	10.97	g cm⁻³

[10]
DFT (PBE) results for PuScPb2 after structural relaxation.

a = 4.548 Å, b = 4.823 Å, c = 4.823 Å
α = 90.00°, β = 90.00°, γ = 90.00°
Each line ends with the local moment (μB).
Fractional coordinates of all 4 atoms:
Pu (0.500, 0.500, 0.500)  5.56
Pb (0.000, 0.000, 0.500)  -0.01
Pb (0.000, 0.500, 0.000)  -0.01
Sc (0.500, 0.000, 0.000)  0.51

Properties
distance to the lowest polymorph of the same formula	34	meV per atom
size of the total moment	6.700	μB/f.u.
DFT formation energy	-0.22	eV per atom
calculated density	11.04	g cm⁻³

[11]
DFT (PBE) results for PuSc2Pb after structural relaxation.

a = 3.337 Å, b = 3.337 Å, c = 10.586 Å
α = 80.93°, β = 80.93°, γ = 60.00°
Each line ends with the local moment (μB).
Fractional coordinates of all 4 atoms:
Pu (0.500, 0.500, 0.500)  5.31
Sc (0.750, 0.750, 0.751)  -0.01
Sc (0.250, 0.250, 0.249)  -0.01
Pb (0.000, 0.000, 0.000)  0.01

Properties
distance to the lowest polymorph of the same formula	105	meV per atom
size of the total moment	5.624	μB/f.u.
DFT formation energy	-0.07	eV per atom
calculated density	8.95	g cm⁻³

[12]
DFT (PBE) results for Pu2ScPb after structural relaxation.

a = 5.117 Å, b = 4.460 Å, c = 4.460 Å
α = 90.00°, β = 90.00°, γ = 90.00°
Each line ends with the local moment (μB).
Fractional coordinates of all 4 atoms:
Pu (0.000, 0.500, 0.000)  5.64
Pu (0.000, 0.000, 0.500)  5.64
Sc (0.500, 0.000, 0.000)  0.27
Pb (0.500, 0.500, 0.500)  -0.09

Properties
size of the total moment	12.347	μB/f.u.
DFT formation energy	-0.16	eV per atom
calculated density	12.08	g cm⁻³

What did the ninth record say?
DFT (PBE) results for PuScPb2 after structural relaxation.

a = 5.320 Å, b = 5.320 Å, c = 5.320 Å
α = 60.00°, β = 60.00°, γ = 60.00°
Each line ends with the local moment (μB).
Fractional coordinates of all 4 atoms:
Pu (0.000, 0.000, 0.000)  5.47
Pb (0.750, 0.750, 0.750)  -0.02
Pb (0.250, 0.250, 0.250)  -0.02
Sc (0.500, 0.500, 0.500)  0.30

Properties
distance to the lowest polymorph of the same formula	70	meV per atom
size of the total moment	6.171	μB/f.u.
DFT formation energy	-0.18	eV per atom
calculated density	10.97	g cm⁻³

Copy entry 5 word for word.
DFT (PBE) results for PuSc2Pb after structural relaxation.

a = 3.411 Å, b = 3.411 Å, c = 8.404 Å
α = 90.00°, β = 90.00°, γ = 90.00°
Each line ends with the local moment (μB).
Fractional coordinates of all 4 atoms:
Sc (0.000, 0.000, 0.257)  -0.01
Sc (0.000, 0.000, 0.743)  -0.01
Pb (0.500, 0.500, 0.500)  0.01
Pu (0.500, 0.500, 0.000)  5.27

Properties
distance to the lowest polymorph of the same formula	72	meV per atom
size of the total moment	5.583	μB/f.u.
DFT formation energy	-0.10	eV per atom
calculated density	9.19	g cm⁻³

Q: The lowest calculated density belongs to which entry?
A: number 11